i.
TaAg2H2 | Alexandria via LeMat-Bulk | GGA-PBE | optimized geometry; symmetry = P4/mbm, No. 127; D(E_F) = 0.433 states/eV per atom; crystal system = tetragonal
1.0
5.3369 0.0000 0.0000
0.0000 5.3369 0.0000
0.0000 0.0000 4.4519
Ta Ag H
2 4 4
Direct
0.0000 0.0000 0.0000
0.5000 0.5000 0.0000
0.1821 0.3179 0.5000
0.3179 0.8179 0.5000
0.6821 0.1821 0.5000
0.8179 0.6821 0.5000
0.1829 0.3171 0.0000
0.3171 0.8171 0.0000
0.6829 0.1829 0.0000
0.8171 0.6829 0.0000

---

ii.
TaAg2H2 | Alexandria via LeMat-Bulk | GGA-PBE | optimized geometry; symmetry = I4/mmm, No. 139; D(E_F) = 0.817 states/eV per atom; crystal system = tetragonal
1.0
3.7381 0.0000 0.0000
0.0000 3.7381 0.0000
0.0000 0.0000 9.4348
Ta Ag H
2 4 4
Direct
0.0000 0.0000 0.0000
0.5000 0.5000 0.5000
0.0000 0.5000 0.2500
0.0000 0.5000 0.7500
0.5000 0.0000 0.2500
0.5000 0.0000 0.7500
0.0000 0.0000 0.4555
0.0000 0.0000 0.5445
0.5000 0.5000 0.0445
0.5000 0.5000 0.9555

---

Stability summary: most stable i, least stable ii.

---

i.
TaAgH3 | Alexandria via LeMat-Bulk | GGA-PBE | optimized geometry; symmetry = Pm-3m, No. 221; D(E_F) = 0.326 states/eV per atom; crystal system = cubic
1.0
3.5694 0.0000 0.0000
0.0000 3.5694 0.0000
0.0000 0.0000 3.5694
Ta Ag H
1 1 3
Direct
0.0000 0.0000 0.0000
0.5000 0.5000 0.5000
0.0000 0.5000 0.5000
0.5000 0.0000 0.5000
0.5000 0.5000 0.0000

---

ii.
TaAgH3 | Alexandria via LeMat-Bulk | GGA-PBE | optimized geometry; symmetry = Pm-3m, No. 221; D(E_F) = 0.463 states/eV per atom; crystal system = cubic
1.0
3.6575 0.0000 0.0000
0.0000 3.6575 0.0000
0.0000 0.0000 3.6575
Ta Ag H
1 1 3
Direct
0.0000 0.0000 0.0000
0.5000 0.5000 0.5000
0.0000 0.0000 0.5000
0.0000 0.5000 0.0000
0.5000 0.0000 0.0000

---

Stability summary: most stable ii, least stable i.

---

i.
Ta2AgH2 | Alexandria via LeMat-Bulk | GGA-PBE | optimized geometry; symmetry = P4/mbm, No. 127; D(E_F) = 0.445 states/eV per atom; crystal system = tetragonal
1.0
7.1301 0.0000 0.0000
0.0000 7.1301 0.0000
0.0000 0.0000 2.6959
Ta Ag H
4 2 4
Direct
0.1324 0.3676 0.0000
0.3676 0.8676 0.0000
0.6324 0.1324 0.0000
0.8676 0.6324 0.0000
0.0000 0.0000 0.0000
0.5000 0.5000 0.0000
0.0968 0.5968 0.5000
0.4032 0.0968 0.5000
0.5968 0.9032 0.5000
0.9032 0.4032 0.5000

---

ii.
Ta2AgH2 | Alexandria via LeMat-Bulk | GGA-PBE | optimized geometry; symmetry = I4/mmm, No. 139; D(E_F) = 0.824 states/eV per atom; crystal system = tetragonal
1.0
3.6014 0.0000 0.0000
0.0000 3.6014 0.0000
0.0000 0.0000 9.1116
Ta Ag H
4 2 4
Direct
0.0000 0.0000 0.1639
0.0000 0.0000 0.8361
0.5000 0.5000 0.3361
0.5000 0.5000 0.6639
0.0000 0.0000 0.5000
0.5000 0.5000 0.0000
0.0000 0.5000 0.2500
0.0000 0.5000 0.7500
0.5000 0.0000 0.2500
0.5000 0.0000 0.7500

---

Stability summary: most stable ii, least stable i.

---

i.
TaAg2H | Alexandria via LeMat-Bulk | GGA-PBE | optimized geometry; symmetry = I-42d, No. 122; D(E_F) = 0.899 states/eV per atom; crystal system = tetragonal
1.0
5.7658 0.0000 0.0000
0.0000 5.7658 0.0000
0.0000 0.0000 7.2937
Ta Ag H
4 8 4
Direct
0.0000 0.0000 0.0000
0.0000 0.5000 0.2500
0.5000 0.0000 0.7500
0.5000 0.5000 0.5000
0.1070 0.2500 0.6250
0.2500 0.6070 0.8750
0.2500 0.8930 0.3750
0.3930 0.2500 0.1250
0.6070 0.7500 0.1250
0.7500 0.1070 0.3750
0.7500 0.3930 0.8750
0.8930 0.7500 0.6250
0.0000 0.0000 0.5000
0.0000 0.5000 0.7500
0.5000 0.0000 0.2500
0.5000 0.5000 0.0000

---

ii.
TaAg2H | Alexandria via LeMat-Bulk | GGA-PBE | optimized geometry; symmetry = Fm-3m, No. 225; D(E_F) = 0.338 states/eV per atom; crystal system = cubic
1.0
6.3433 0.0000 0.0000
0.0000 6.3433 0.0000
0.0000 0.0000 6.3433
Ta Ag H
4 8 4
Direct
0.0000 0.0000 0.0000
0.0000 0.5000 0.5000
0.5000 0.0000 0.5000
0.5000 0.5000 0.0000
0.2500 0.2500 0.2500
0.2500 0.2500 0.7500
0.2500 0.7500 0.2500
0.2500 0.7500 0.7500
0.7500 0.2500 0.2500
0.7500 0.2500 0.7500
0.7500 0.7500 0.2500
0.7500 0.7500 0.7500
0.0000 0.0000 0.5000
0.0000 0.5000 0.0000
0.5000 0.0000 0.0000
0.5000 0.5000 0.5000

---

Stability summary: most stable i, least stable ii.